No. 1
VASP calculation (PBE) on a geometry-optimized Pm2Al4GaAg3 structure.

Values from the calculation:
uncorrected energy: -3.989 eV/atom
space group: P-4m2

Cell: 4.370 4.370 10.745 Å, 90.00 90.00 90.00°
Atoms (fractional coordinates):
Ag 0.500 0.000 0.868
Ag 0.000 0.500 0.132
Ag 0.000 0.000 0.500
Pm 0.500 0.000 0.252
Pm 0.000 0.500 0.748
Al 0.500 0.000 0.635
Al 0.000 0.000 0.000
Al 0.500 0.500 0.000
Al 0.000 0.500 0.365
Ga 0.500 0.500 0.500

---

No. 2
VASP calculation (PBE) on a geometry-optimized Pr2Al6GaAg structure.

Values from the calculation:
uncorrected energy: -3.905 eV/atom
space group: R-3m

Cell: 6.548 6.548 12.518 Å, 74.84 74.84 60.00°
Atoms (fractional coordinates):
Al 0.770 0.770 0.096
Al 0.674 0.674 0.590
Al 0.326 0.937 0.410
Al 0.636 0.230 0.904
Al 0.770 0.364 0.096
Al 0.063 0.674 0.590
Al 0.364 0.770 0.096
Al 0.674 0.063 0.590
Al 0.230 0.230 0.904
Al 0.326 0.326 0.410
Al 0.230 0.636 0.904
Al 0.937 0.326 0.410
Pr 0.721 0.721 0.838
Pr 0.893 0.893 0.320
Pr 0.279 0.279 0.162
Pr 0.107 0.107 0.680
Ga 0.575 0.575 0.276
Ga 0.425 0.425 0.724
Ag 0.000 0.000 0.000
Ag 0.500 0.500 0.500

---

No. 3
VASP calculation (PBE) on a geometry-optimized PrAl2GaAg2 structure.

Values from the calculation:
uncorrected energy: -3.480 eV/atom
space group: P4/mmm

Cell: 4.821 4.821 5.804 Å, 90.00 90.00 90.00°
Atoms (fractional coordinates):
Ag 0.500 0.500 0.737
Ag 0.500 0.500 0.263
Pr 0.000 0.000 0.500
Al 0.000 0.500 0.000
Al 0.500 0.000 0.000
Ga 0.000 0.000 0.000

---

No. 4
VASP calculation (PBE) on a geometry-optimized Pr2Al3Ga4Ag structure.

Values from the calculation:
uncorrected energy: -4.007 eV/atom
space group: P-4m2

Cell: 4.355 4.355 10.803 Å, 90.00 90.00 90.00°
Atoms (fractional coordinates):
Pr 0.000 0.500 0.755
Pr 0.500 0.000 0.245
Al 0.000 0.500 0.132
Al 0.000 0.000 0.500
Al 0.500 0.000 0.868
Ga 0.000 0.000 0.000
Ga 0.000 0.500 0.361
Ga 0.500 0.500 0.000
Ga 0.500 0.000 0.639
Ag 0.500 0.500 0.500

---

No. 5
VASP calculation (PBE) on a geometry-optimized Pr2Al4Ga3Ag structure.

Values from the calculation:
uncorrected energy: -4.079 eV/atom
space group: P-4m2

Cell: 4.326 4.326 10.891 Å, 90.00 90.00 90.00°
Atoms (fractional coordinates):
Al 0.000 0.500 0.367
Al 0.500 0.500 0.000
Al 0.500 0.000 0.633
Al 0.000 0.000 0.000
Ag 0.500 0.500 0.500
Ga 0.000 0.000 0.500
Ga 0.000 0.500 0.137
Ga 0.500 0.000 0.863
Pr 0.000 0.500 0.750
Pr 0.500 0.000 0.250

---

No. 6
VASP calculation (PBE) on a geometry-optimized PrAlGa4Ag2 structure.

Values from the calculation:
uncorrected energy: -3.487 eV/atom
space group: R-3m

Cell: 4.585 4.585 9.159 Å, 75.50 75.50 60.00°
Atoms (fractional coordinates):
Ga 0.397 0.397 0.809
Ga 0.129 0.129 0.614
Ga 0.603 0.603 0.191
Ga 0.871 0.871 0.386
Ag 0.245 0.245 0.264
Ag 0.755 0.755 0.736
Al 0.500 0.500 0.500
Pr 0.000 0.000 0.000

---

No. 7
VASP calculation (PBE) on a geometry-optimized PuAlGaAg structure.

Values from the calculation:
uncorrected energy: -6.137 eV/atom
space group: F-43m

Cell: 4.847 4.847 4.847 Å, 60.00 60.00 60.00°
Site moments in Bohr magnetons follow the coordinates.
Atoms (fractional coordinates):
Ga 0.750 0.750 0.750  0.02
Pu 0.500 0.500 0.500  5.24
Al 0.000 0.000 0.000  -0.02
Ag 0.250 0.250 0.250  0.02

---

No. 8
VASP calculation (PBE) on a geometry-optimized Pu2Al3Ga4Ag structure.

Values from the calculation:
uncorrected energy: -5.732 eV/atom
space group: P-4m2

Cell: 4.226 4.226 11.002 Å, 90.00 90.00 90.00°
Site moments in Bohr magnetons follow the coordinates.
Atoms (fractional coordinates):
Al 0.500 0.000 0.863  -0.01
Al 0.000 0.500 0.137  -0.01
Al 0.000 0.000 0.500  -0.01
Ga 0.500 0.500 0.000  -0.03
Ga 0.500 0.000 0.641  -0.01
Ga 0.000 0.500 0.359  -0.01
Ga 0.000 0.000 0.000  -0.02
Pu 0.000 0.500 0.760  5.40
Pu 0.500 0.000 0.240  5.40
Ag 0.500 0.500 0.500  0.00

---

No. 9
VASP calculation (PBE) on a geometry-optimized Pu2Al4Ga3Ag structure.

Values from the calculation:
uncorrected energy: -5.812 eV/atom
space group: P-4m2

Cell: 4.206 4.206 11.076 Å, 90.00 90.00 90.00°
Site moments in Bohr magnetons follow the coordinates.
Atoms (fractional coordinates):
Ag 0.500 0.500 0.500  0.01
Ga 0.500 0.000 0.860  -0.02
Ga 0.000 0.500 0.140  -0.02
Ga 0.000 0.000 0.500  -0.02
Al 0.500 0.500 0.000  -0.01
Al 0.000 0.500 0.363  0.00
Al 0.000 0.000 0.000  -0.01
Al 0.500 0.000 0.637  0.00
Pu 0.500 0.000 0.241  5.43
Pu 0.000 0.500 0.759  5.43

---

No. 10
VASP calculation (PBE) on a geometry-optimized Pu2AlGa6Ag structure.

Values from the calculation:
uncorrected energy: -5.374 eV/atom
space group: R-3m

Cell: 6.324 6.324 13.213 Å, 76.15 76.15 60.00°
Site moments in Bohr magnetons follow the coordinates.
Atoms (fractional coordinates):
Pu 0.868 0.868 0.395  5.35
Pu 0.132 0.132 0.605  5.35
Pu 0.717 0.717 0.849  5.51
Pu 0.283 0.283 0.151  5.51
Al 0.000 0.000 0.000  0.00
Al 0.500 0.500 0.500  -0.03
Ga 0.339 0.339 0.382  0.00
Ga 0.196 0.196 0.834  0.01
Ga 0.939 0.339 0.382  0.00
Ga 0.775 0.196 0.834  0.01
Ga 0.061 0.661 0.618  0.00
Ga 0.196 0.775 0.834  0.01
Ga 0.661 0.661 0.618  0.00
Ga 0.225 0.804 0.166  0.01
Ga 0.339 0.939 0.382  0.00
Ga 0.661 0.061 0.618  0.00
Ga 0.804 0.804 0.166  0.01
Ga 0.804 0.225 0.166  0.01
Ag 0.425 0.425 0.726  0.00
Ag 0.575 0.575 0.274  0.00

---

No. 11
VASP calculation (PBE) on a geometry-optimized PuAl3GaAg structure.

Values from the calculation:
uncorrected energy: -5.136 eV/atom
space group: Cmcm

Cell: 5.689 5.938 8.816 Å, 109.68 90.00 90.00°
Site moments in Bohr magnetons follow the coordinates.
Atoms (fractional coordinates):
Ga 0.750 0.604 0.207  -0.01
Ga 0.250 0.396 0.793  -0.01
Pu 0.750 0.334 0.668  5.42
Pu 0.250 0.666 0.332  5.42
Al 0.750 0.754 0.508  0.04
Al 0.500 0.264 0.000  -0.01
Al 0.250 0.246 0.492  0.04
Al 0.000 0.736 0.000  -0.01
Al 0.000 0.264 0.000  -0.01
Al 0.500 0.736 0.000  -0.01
Ag 0.250 0.094 0.188  0.00
Ag 0.750 0.906 0.812  0.00

---

No. 12
VASP calculation (PBE) on a geometry-optimized RbAl2Ga4Ag structure.

Values from the calculation:
uncorrected energy: -2.890 eV/atom
space group: R-3m

Cell: 4.552 4.552 10.882 Å, 77.93 77.93 60.00°
Atoms (fractional coordinates):
Ga 0.412 0.412 0.764
Ga 0.588 0.588 0.236
Ga 0.130 0.130 0.609
Ga 0.870 0.870 0.391
Al 0.229 0.229 0.314
Al 0.771 0.771 0.686
Ag 0.500 0.500 0.500
Rb 0.000 0.000 0.000

---

No. 13
VASP calculation (PBE) on a geometry-optimized Al2GaAgRh structure.

Values from the calculation:
uncorrected energy: -4.026 eV/atom
space group: P4/mmm

Cell: 4.620 5.289 4.620 Å, 90.00 90.00 90.00°
Atoms (fractional coordinates):
Ag 0.000 0.500 0.000
Rh 0.000 0.000 0.000
Al 0.500 0.000 0.000
Al 0.000 0.000 0.500
Ga 0.500 0.500 0.500

---

No. 14
VASP calculation (PBE) on a geometry-optimized Sc4Al2GaAg structure.

Values from the calculation:
uncorrected energy: -5.266 eV/atom
space group: R-3m

Cell: 4.808 4.808 8.330 Å, 73.23 73.23 60.00°
Atoms (fractional coordinates):
Ag 0.500 0.500 0.500
Sc 0.374 0.374 0.879
Sc 0.123 0.123 0.631
Sc 0.626 0.626 0.121
Sc 0.877 0.877 0.369
Ga 0.000 0.000 0.000
Al 0.753 0.753 0.742
Al 0.247 0.247 0.258

---

No. 15
VASP calculation (PBE) on a geometry-optimized AlGaAgSe2 structure.

Values from the calculation:
uncorrected formation energy: 359 meV per atom
uncorrected energy: -2.959 eV/atom
space group: P4/mmm

Cell: 5.261 4.870 5.261 Å, 90.00 90.00 90.00°
Atoms (fractional coordinates):
Ag 0.000 0.000 0.000
Se 0.500 0.000 0.000
Se 0.000 0.000 0.500
Ga 0.500 0.500 0.500
Al 0.000 0.500 0.000

---

No. 16
VASP calculation (PBE) on a geometry-optimized AlGa2SiAg structure.

Values from the calculation:
uncorrected formation energy: 704 meV per atom
uncorrected energy: -2.910 eV/atom
space group: P4/mmm

Cell: 4.892 4.937 4.892 Å, 90.00 90.00 90.00°
Atoms (fractional coordinates):
Al 0.000 0.500 0.000
Si 0.500 0.500 0.500
Ga 0.500 0.000 0.000
Ga 0.000 0.000 0.500
Ag 0.000 0.000 0.000

---

No. 17
VASP calculation (PBE) on a geometry-optimized SmAl2GaAg2 structure.

Values from the calculation:
uncorrected energy: -3.443 eV/atom
space group: P4/mmm

Cell: 4.809 4.809 5.725 Å, 90.00 90.00 90.00°
Atoms (fractional coordinates):
Ga 0.000 0.000 0.000
Sm 0.000 0.000 0.500
Ag 0.500 0.500 0.738
Ag 0.500 0.500 0.262
Al 0.000 0.500 0.000
Al 0.500 0.000 0.000

---

No. 18
VASP calculation (PBE) on a geometry-optimized Sm4AlGaAg2 structure.

Values from the calculation:
uncorrected energy: -4.284 eV/atom
space group: R-3m

Cell: 5.240 5.240 9.082 Å, 73.23 73.23 60.00°
Atoms (fractional coordinates):
Sm 0.377 0.377 0.869
Sm 0.873 0.873 0.380
Sm 0.623 0.623 0.131
Sm 0.127 0.127 0.620
Ga 0.500 0.500 0.500
Ag 0.745 0.745 0.764
Ag 0.255 0.255 0.236
Al 0.000 0.000 0.000

---

No. 19
VASP calculation (PBE) on a geometry-optimized SmAlGa2Ag structure.

Values from the calculation:
uncorrected energy: -3.948 eV/atom
space group: I-4m2

Cell: 4.209 4.209 6.326 Å, 109.43 109.43 90.00°
Atoms (fractional coordinates):
Ga 0.609 0.609 0.219
Ga 0.391 0.391 0.781
Al 0.250 0.750 0.500
Ag 0.750 0.250 0.500
Sm 0.000 0.000 0.000

---

No. 20
VASP calculation (PBE) on a geometry-optimized Sm2Al3Ga4Ag structure.

Values from the calculation:
uncorrected energy: -3.964 eV/atom
space group: P-4m2

Cell: 4.302 4.302 10.798 Å, 90.00 90.00 90.00°
Atoms (fractional coordinates):
Al 0.500 0.000 0.867
Al 0.000 0.500 0.133
Al 0.000 0.000 0.500
Ga 0.500 0.500 0.000
Ga 0.000 0.500 0.359
Ga 0.500 0.000 0.641
Ga 0.000 0.000 0.000
Ag 0.500 0.500 0.500
Sm 0.000 0.500 0.755
Sm 0.500 0.000 0.245

---

No. 21
VASP calculation (PBE) on a geometry-optimized SmAlGa4Ag2 structure.

Values from the calculation:
uncorrected energy: -3.470 eV/atom
space group: R-3m

Cell: 4.574 4.574 9.027 Å, 75.32 75.32 60.00°
Atoms (fractional coordinates):
Ga 0.605 0.605 0.184
Ga 0.128 0.128 0.615
Ga 0.395 0.395 0.816
Ga 0.872 0.872 0.385
Ag 0.752 0.752 0.744
Ag 0.248 0.248 0.256
Sm 0.000 0.000 0.000
Al 0.500 0.500 0.500

---

No. 22
VASP calculation (PBE) on a geometry-optimized Sm2Al3GaAg4 structure.

Values from the calculation:
uncorrected energy: -3.840 eV/atom
space group: P-4m2

Cell: 4.365 4.365 10.830 Å, 90.00 90.00 90.00°
Atoms (fractional coordinates):
Ag 0.000 0.000 0.000
Ag 0.500 0.000 0.635
Ag 0.500 0.500 0.000
Ag 0.000 0.500 0.365
Sm 0.000 0.500 0.748
Sm 0.500 0.000 0.252
Al 0.000 0.000 0.500
Al 0.500 0.000 0.866
Al 0.000 0.500 0.134
Ga 0.500 0.500 0.500

---

No. 23
VASP calculation (PBE) on a geometry-optimized SrAlGaAg structure.

Values from the calculation:
uncorrected energy: -2.982 eV/atom
space group: F-43m

Cell: 5.027 5.027 5.027 Å, 60.00 60.00 60.00°
Atoms (fractional coordinates):
Sr 0.000 0.000 0.000
Al 0.500 0.500 0.500
Ga 0.250 0.250 0.250
Ag 0.750 0.750 0.750

---

No. 24
VASP calculation (PBE) on a geometry-optimized SrAlGa2Ag structure.

Values from the calculation:
uncorrected energy: -3.229 eV/atom
space group: I-4m2

Cell: 4.376 4.376 6.448 Å, 109.83 109.83 90.00°
Atoms (fractional coordinates):
Ag 0.250 0.750 0.500
Ga 0.614 0.614 0.228
Ga 0.386 0.386 0.772
Al 0.750 0.250 0.500
Sr 0.000 0.000 0.000